Entry 1:
4
Lattice="4.675 0.011 0.001 3.643 2.931 0.001 0.285 0.101 4.461" Properties=species:S:1:pos:R:3 comment="Si2AsW | Alexandria via LeMat-Bulk | GGA-PBE | optimized geometry" m_tot_mub_per_fu=0.00 density_g_cm3=8.6 raw_formation_energy_ev_per_atom=0.284 pbc="T T T"
As 6.605 2.336 3.285
Si 0.037 0.013 0.027
Si 2.001 0.708 1.188
W 4.262 1.507 2.194

---

Entry 2:
4
Lattice="4.705 0.002 0.004 3.651 2.969 0.004 1.207 0.429 4.338" Properties=species:S:1:pos:R:3 comment="SiAsW2 | Alexandria via LeMat-Bulk | GGA-PBE | optimized geometry" m_tot_mub_per_fu=0.00 density_g_cm3=12.9 raw_formation_energy_ev_per_atom=0.046 pbc="T T T"
As 4.818 1.713 2.344
Si 2.363 0.840 0.872
W 8.364 2.974 0.269
W 7.155 2.544 3.041

---

Entry 3:
8
Lattice="-0.539 5.319 -2.228 -1.444 -2.291 -5.120 -6.207 1.588 -2.236" Properties=species:S:1:pos:R:3 comment="SiAs2W | Alexandria via LeMat-Bulk | GGA-PBE | optimized geometry" m_tot_mub_per_fu=1.44 density_g_cm3=6.6 raw_formation_energy_ev_per_atom=0.589 pbc="T T T"
As -2.065 3.398 -2.576
As -2.526 -0.333 -4.053
As -5.409 2.310 -4.468
As -6.380 3.857 -8.070
Si -0.992 1.514 -3.674
Si -4.322 0.405 -5.515
W 0.000 0.000 0.000
W -3.869 4.211 -4.069

---

Entry 4:
4
Lattice="-1.394 -3.071 -3.118 1.783 -3.460 -2.439 -1.261 -3.906 3.664" Properties=species:S:1:pos:R:3 comment="SiAs2W | Alexandria via LeMat-Bulk | GGA-PBE | optimized geometry" m_tot_mub_per_fu=0.00 density_g_cm3=7.8 raw_formation_energy_ev_per_atom=0.219 pbc="T T T"
As 0.293 -6.476 -5.074
As -0.583 -7.636 -1.644
Si -0.309 -5.089 -1.469
W -0.320 -2.986 -0.210

---

Entry 5:
4
Lattice="-0.922 4.231 1.044 -3.184 0.916 2.977 1.095 1.593 4.013" Properties=species:S:1:pos:R:3 comment="SiAsW2 | Alexandria via LeMat-Bulk | GGA-PBE | optimized geometry" m_tot_mub_per_fu=0.00 density_g_cm3=12.5 raw_formation_energy_ev_per_atom=0.405 pbc="T T T"
As -1.505 3.370 4.017
Si -2.258 5.055 6.026
W 0.000 0.000 0.000
W -0.753 1.685 2.009

---

Entry 6:
4
Lattice="-0.087 4.255 -1.180 -1.039 1.122 -4.143 -3.856 1.977 -0.851" Properties=species:S:1:pos:R:3 comment="Si2AsW | Alexandria via LeMat-Bulk | GGA-PBE | optimized geometry" m_tot_mub_per_fu=0.00 density_g_cm3=8.6 raw_formation_energy_ev_per_atom=0.599 pbc="T T T"
As -2.491 3.677 -3.087
Si 0.000 0.000 0.000
Si -1.246 1.838 -1.544
W -3.737 5.515 -4.631

---

Entry 7:
4
Lattice="4.384 0.020 0.075 2.140 3.087 2.262 2.134 -1.062 3.680" Properties=species:S:1:pos:R:3 comment="SiAsW2 | Alexandria via LeMat-Bulk | GGA-PBE | optimized geometry" m_tot_mub_per_fu=0.00 density_g_cm3=13.1 raw_formation_energy_ev_per_atom=0.215 pbc="T T T"
As 4.329 1.023 3.009
Si 0.000 0.000 0.000
W 2.165 0.511 1.504
W 6.494 1.534 4.513

---

Entry 8:
4
Lattice="4.509 0.000 0.000 2.255 3.905 0.000 2.255 1.302 3.682" Properties=species:S:1:pos:R:3 comment="SiAs2W | Alexandria via LeMat-Bulk | GGA-PBE | optimized geometry" m_tot_mub_per_fu=0.00 density_g_cm3=9.3 raw_formation_energy_ev_per_atom=0.644 pbc="T T T"
As 0.000 0.000 0.000
As 6.764 3.905 2.761
Si 4.509 2.603 1.841
W 2.255 1.302 0.920

---

Entry 9:
5
Lattice="-1.017 -0.067 -4.507 -3.737 -2.572 0.882 -2.521 3.839 0.512" Properties=species:S:1:pos:R:3 comment="SiAs3W | Alexandria via LeMat-Bulk | GGA-PBE | optimized geometry" m_tot_mub_per_fu=0.00 density_g_cm3=7.3 raw_formation_energy_ev_per_atom=1.376 pbc="T T T"
As -1.868 -1.286 0.441
As -1.261 1.919 0.256
As -0.509 -0.033 -2.254
Si 0.000 0.000 0.000
W -3.638 0.600 -1.557

---

Entry 10:
4
Lattice="3.233 0.000 0.000 0.000 3.233 0.000 0.000 0.000 5.749" Properties=species:S:1:pos:R:3 comment="SiAsW2 | Alexandria via LeMat-Bulk | GGA-PBE | optimized geometry" m_tot_mub_per_fu=0.00 density_g_cm3=13.0 raw_formation_energy_ev_per_atom=-0.072 pbc="T T T"
As 0.000 0.000 2.832
Si 1.617 1.617 4.405
W 0.000 0.000 5.527
W 1.617 1.617 1.607

---

Entry 11:
10
Lattice="-3.702 -5.146 -3.883 6.189 -1.584 -3.801 0.726 -2.064 2.042" Properties=species:S:1:pos:R:3 comment="SiAs2W2 | Alexandria via LeMat-Bulk | GGA-PBE | optimized geometry" m_tot_mub_per_fu=0.00 density_g_cm3=11.0 raw_formation_energy_ev_per_atom=0.616 pbc="T T T"
As 3.987 -3.205 -4.656
As 0.792 -5.434 -5.772
As -1.499 -3.525 -3.028
As 1.696 -1.296 -1.912
Si 0.000 0.000 0.000
Si 1.244 -3.365 -3.842
W 3.835 -2.846 -2.046
W 3.200 -5.730 -4.734
W -0.622 -5.948 -3.596
W 0.014 -3.064 -0.908

---

Entry 12:
4
Lattice="-0.523 -3.793 2.861 2.640 0.708 3.921 -3.240 2.783 -2.146" Properties=species:S:1:pos:R:3 comment="Si2AsW | Alexandria via LeMat-Bulk | GGA-PBE | optimized geometry" m_tot_mub_per_fu=0.00 density_g_cm3=8.6 raw_formation_energy_ev_per_atom=0.582 pbc="T T T"
As -1.352 -1.276 2.053
Si 0.000 0.000 0.000
Si 0.229 0.974 2.583
W 1.059 -1.543 3.391